{"formula": "Na5LiFe2P2C2O14", "functional": "GGA+U", "state": "relaxed", "lattice_angstrom": [[8.927, 0.000, 0.000], [0.000, 6.648, 0.000], [-0.167, 0.000, 10.498]], "species": ["Na", "Na", "Na", "Na", "Na", "Na", "Na", "Na", "Na", "Na", "Li", "Li", "Fe", "Fe", "Fe", "Fe", "P", "P", "P", "P", "C", "C", "C", "C", "O", "O", "O", "O", "O", "O", "O", "O", "O", "O", "O", "O", "O", "O", "O", "O", "O", "O", "O", "O", "O", "O", "O", "O", "O", "O", "O", "O"], "frac_coords": [[0.083, 0.000, 0.373], [0.087, 0.992, 0.865], [0.259, 0.734, 0.623], [0.263, 0.239, 0.125], [0.263, 0.748, 0.124], [0.737, 0.248, 0.876], [0.737, 0.739, 0.875], [0.741, 0.234, 0.377], [0.913, 0.492, 0.135], [0.917, 0.500, 0.627], [0.300, 0.196, 0.646], [0.700, 0.696, 0.354], [0.345, 0.486, 0.363], [0.352, 0.491, 0.857], [0.648, 0.991, 0.143], [0.655, 0.986, 0.637], [0.416, 0.984, 0.402], [0.418, 0.992, 0.893], [0.582, 0.492, 0.107], [0.584, 0.484, 0.598], [0.045, 0.506, 0.383], [0.059, 0.495, 0.890], [0.941, 0.995, 0.110], [0.955, 0.006, 0.617], [0.085, 0.993, 0.095], [0.100, 0.020, 0.615], [0.115, 0.489, 0.275], [0.116, 0.505, 0.777], [0.125, 0.505, 0.488], [0.150, 0.488, 0.989], [0.314, 0.801, 0.367], [0.321, 0.176, 0.847], [0.325, 0.803, 0.855], [0.329, 0.173, 0.353], [0.427, 0.464, 0.659], [0.428, 0.495, 0.171], [0.436, 0.998, 0.550], [0.438, 0.999, 0.041], [0.562, 0.499, 0.959], [0.564, 0.498, 0.450], [0.572, 0.995, 0.829], [0.573, 0.964, 0.341], [0.671, 0.673, 0.647], [0.675, 0.303, 0.145], [0.679, 0.676, 0.153], [0.686, 0.301, 0.633], [0.850, 0.988, 0.011], [0.875, 0.005, 0.512], [0.884, 0.005, 0.223], [0.885, 0.989, 0.725], [0.900, 0.520, 0.385], [0.915, 0.493, 0.905]], "e_above_lowest_polymorph_ev_per_fu": 0.02, "dft_energy_ry_per_atom": -0.4781, "dos_ef_per_ev_atom": 0.000, "magmom_total_mub_per_atom": 0.308, "spacegroup": "P2_1 (4)"}